DFT (GGA-PBE) results for a relaxed SrHgPd crystal.

- Energy: -2.889 eV per atom
- SG: F-43m

Geometry as POSCAR:
```
SrHgPd
1.0
0.0000 3.4817 3.4817
3.4817 0.0000 3.4817
3.4817 3.4817 0.0000
Hg Pd Sr
1 1 1
Direct
0.2500 0.2500 0.2500 Hg
0.0000 0.0000 0.0000 Pd
0.7500 0.7500 0.7500 Sr
```